1.
Density functional theory data (PBE) for an optimized crystal structure of AcDy2Mg3.

## Properties
Its magnetic moment is 0.00 Bohr magnetons per cell. For the formation enthalpy at 0 K, the calculation gives -0.41 eV/f.u.

a b c (Å): 3.889 3.889 11.744
angles (deg): 90.00 90.00 90.00
Space group P4/mmm (No. 123)
Asymmetric unit:
Ac  0.000  0.000  0.000 [1 per cell]
Dy  0.000  0.000  0.345 [2 per cell]
Mg  0.500  0.500  0.193 [2 per cell]
Mg  0.500  0.500  0.500 [1 per cell]

---

2.
Density functional theory data (PBE) for an optimized crystal structure of AcDyMg6.

## Properties
Its magnetic moment is 0.00 Bohr magnetons per cell. For the formation enthalpy at 0 K, the calculation gives -0.49 eV/f.u.

a b c (Å): 5.325 5.325 7.512
angles (deg): 90.00 90.00 90.00
Space group P4/mmm (No. 123)
Asymmetric unit:
Ac  0.000  0.000  0.000 [1 per cell]
Dy  0.500  0.500  0.500 [1 per cell]
Mg  0.000  0.000  0.500 [1 per cell]
Mg  0.000  0.500  0.268 [4 per cell]
Mg  0.500  0.500  0.000 [1 per cell]

---

3.
Density functional theory data (PBE) for an optimized crystal structure of AcDy2Mg.

## Properties
Its magnetic moment is 0.00 Bohr magnetons per cell. For the formation enthalpy at 0 K, the calculation gives -0.01 eV/f.u.

a b c (Å): 3.804 3.804 8.966
angles (deg): 90.00 90.00 90.00
Space group P4/mmm (No. 123)
Asymmetric unit:
Ac  0.000  0.000  0.000 [1 per cell]
Dy  0.500  0.500  0.291 [2 per cell]
Mg  0.000  0.000  0.500 [1 per cell]